(1)
# Na2ReTcSn, optimized geometry, DFT PBE
data_Na2ReTcSn
_chemical_formula_sum 'Na2 Re1 Tc1 Sn1'
_symmetry_space_group_name_H-M 'P 4/m m m'
_symmetry_Int_Tables_number 123
_symmetry_space_group_name_Hall '-P 4 2'
_cell_length_a 5.348
_cell_length_b 5.348
_cell_length_c 4.590
_cell_angle_alpha 90.00
_cell_angle_beta 90.00
_cell_angle_gamma 90.00
loop_
_atom_site_label
_atom_site_type_symbol
_atom_site_fract_x
_atom_site_fract_y
_atom_site_fract_z
Na1 Na 0.000 0.500 0.000
Re1 Re 0.000 0.000 0.500
Tc1 Tc 0.000 0.000 0.000
Sn1 Sn 0.500 0.500 0.500
# - raw total energy (eV/atom) = -4.483



(2)
# NaReSn2Te, optimized geometry, DFT PBE
data_NaReSn2Te
_chemical_formula_sum 'Na1 Re1 Sn2 Te1'
_symmetry_space_group_name_H-M 'P 4/m m m'
_symmetry_Int_Tables_number 123
_symmetry_space_group_name_Hall '-P 4 2'
_cell_length_a 5.959
_cell_length_b 5.959
_cell_length_c 4.958
_cell_angle_alpha 90.00
_cell_angle_beta 90.00
_cell_angle_gamma 90.00
loop_
_atom_site_label
_atom_site_type_symbol
_atom_site_fract_x
_atom_site_fract_y
_atom_site_fract_z
Na1 Na 0.000 0.000 0.000
Re1 Re 0.500 0.500 0.000
Sn1 Sn 0.000 0.500 0.500
Te1 Te 0.500 0.500 0.500
# - formation energy (no corrections) (kcal/mol of atoms) = 26.17



(3)
# Na2SrRe, optimized geometry, DFT PBE
data_Na2SrRe
_chemical_formula_sum 'Na8 Sr4 Re4'
_symmetry_space_group_name_H-M 'F m -3 m'
_symmetry_Int_Tables_number 225
_symmetry_space_group_name_Hall '-F 4 2 3'
_cell_length_a 7.583
_cell_length_b 7.583
_cell_length_c 7.583
_cell_angle_alpha 90.00
_cell_angle_beta 90.00
_cell_angle_gamma 90.00
loop_
_atom_site_label
_atom_site_type_symbol
_atom_site_fract_x
_atom_site_fract_y
_atom_site_fract_z
Na1 Na 0.250 0.250 0.250
Sr1 Sr 0.000 0.000 0.000
Re1 Re 0.000 0.000 0.500
# - raw total energy (eV/atom) = -3.014